Ga2RuPt | PBEsol | relaxed

Lattice parameters (Å, degrees): 4.276 4.276 4.276 60.00 60.00 60.00
Positions (direct):
Ga: 0.750 0.750 0.750
Ga: 0.250 0.250 0.250
Ru: 0.000 0.000 0.000
Pt: 0.500 0.500 0.500

Results
- Total magnetic moment: 0.00 μB per cell
- DFT formation energy: -461.9 meV/atom

---

GaSbPt2S | PBEsol | relaxed

Lattice parameters (Å, degrees): 4.428 4.428 5.379 90.00 90.00 90.00
Positions (direct):
S: 0.000 0.000 0.000
Sb: 0.000 0.000 0.500
Ga: 0.500 0.500 0.500
Pt: 0.000 0.500 0.000
Pt: 0.500 0.000 0.000

Results
- Total magnetic moment: 0.00 μB per cell
- Formation energy without anion corrections: 423 meV per atom

---

ScGa2Pt2 | PBEsol | relaxed

Lattice parameters (Å, degrees): 3.718 3.718 6.672 106.18 106.18 90.00
Positions (direct):
Pt: 0.394 0.394 0.788
Pt: 0.606 0.606 0.212
Ga: 0.250 0.750 0.500
Ga: 0.750 0.250 0.500
Sc: 0.000 0.000 0.000

Results
- Total magnetic moment: 0.00 μB per cell
- DFT formation energy: -809.7 meV/atom